(one)
Mg2Ga2Pt | PBE | relaxed

Unit cell a=3.5446 b=3.5446 c=8.0621 alpha=77.30 beta=77.30 gamma=90.00
Last column: nearest neighbours and their distance in Å.
Positions (direct):
Ga (0.7500, 0.2500, 0.5000)  4 Ga 2.51
Ga (0.2500, 0.7500, 0.5000)  4 Ga 2.51
Mg (0.4087, 0.4087, 0.1826)  1 Mg 2.80, 4 Pt 2.87, 4 Ga 3.01
Pt (0.0000, 0.0000, 0.0000)  8 Mg 2.87
Mg (0.5913, 0.5913, 0.8174)  1 Mg 2.80, 4 Pt 2.87, 4 Ga 3.01

Calculated values
- total magnetic moment (μB per formula unit) = 0.000
- density of states at the Fermi level (states/eV per atom) = 0.40
- calculated density (g/cm3) = 6.6
- volume (A^3/atom) = 19.3

***

(two)
Mg2Ga2Pt | PBE | relaxed

Unit cell a=4.2561 b=4.2561 c=11.2427 alpha=100.91 beta=100.91 gamma=90.00
Last column: nearest neighbours and their distance in Å.
Positions (direct):
Pt (0.2500, 0.7500, 0.5000)  4 Ga 2.60, 4 Mg 2.67
Ga (0.6809, 0.6809, 0.3617)  2 Pt 2.60
Mg (0.8243, 0.8243, 0.6486)  2 Pt 2.67
Mg (0.9257, 0.4257, 0.8514)  2 Pt 2.67
Mg (0.1757, 0.1757, 0.3514)  2 Pt 2.67
Pt (0.5000, 0.5000, 0.0000)  4 Ga 2.60, 4 Mg 2.67
Ga (0.0691, 0.5691, 0.1383)  2 Pt 2.60
Mg (0.5743, 0.0743, 0.1486)  2 Pt 2.67
Ga (0.4309, 0.9309, 0.8617)  2 Pt 2.60
Ga (0.3191, 0.3191, 0.6383)  2 Pt 2.60

Calculated values
- total magnetic moment (μB per formula unit) = 0.000
- density of states at the Fermi level (states/eV per atom) = 0.42
- calculated density (g/cm3) = 6.5
- volume (A^3/atom) = 19.6

***

Stability, lowest: (one)

***

(one)
Mg3GaPt2 | PBE | relaxed

Unit cell a=5.5516 b=5.5504 c=8.1191 alpha=109.82 beta=109.99 gamma=90.00
Last column: nearest neighbours and their distance in Å.
Positions (direct):
Pt (0.8982, 0.6228, 0.2466)  2 Ga 2.56, 4 Mg 2.71-2.85
Mg (0.5004, 0.7500, 0.0000)  4 Pt 2.71, 2 Ga 2.77-2.78, 2 Mg 2.78
Pt (0.1018, 0.3772, 0.7534)  2 Ga 2.56, 4 Mg 2.71-2.85
Mg (0.1009, 0.8165, 0.6299)  5 Pt 2.73-2.97
Mg (0.8991, 0.1835, 0.3701)  5 Pt 2.73-2.97
Mg (0.4709, 0.6835, 0.3701)  5 Pt 2.73-2.97
Pt (0.3484, 0.1228, 0.2466)  2 Ga 2.56, 4 Mg 2.71-2.85
Ga (0.0009, 0.7500, 0.0000)  4 Pt 2.56, 2 Mg 2.77-2.78, 2 Ga 2.78
Mg (0.5291, 0.3165, 0.6299)  5 Pt 2.73-2.97
Ga (0.9991, 0.2500, 0.0000)  4 Pt 2.56, 2 Mg 2.77-2.78, 2 Ga 2.78
Mg (0.4996, 0.2500, 0.0000)  4 Pt 2.71, 2 Ga 2.77-2.78, 2 Mg 2.78
Pt (0.6516, 0.8772, 0.7534)  2 Ga 2.56, 4 Mg 2.71-2.85

Calculated values
- total magnetic moment (μB per formula unit) = 0.000
- density of states at the Fermi level (states/eV per atom) = 0.28
- calculated density (g/cm3) = 8.1
- volume (A^3/atom) = 18.3

***

(two)
Mg3GaPt2 | PBE | relaxed

Unit cell a=3.7724 b=4.0781 c=7.6413 alpha=105.60 beta=104.57 gamma=89.87
Last column: nearest neighbours and their distance in Å.
Positions (direct):
Mg (0.1868, 0.6845, 0.3675)  5 Pt 2.71-2.90
Pt (0.6274, 0.1260, 0.2507)  2 Ga 2.59, 7 Mg 2.71-2.90
Mg (0.5000, 0.5000, 0.0000)  4 Pt 2.71, 4 Ga 2.77-2.78
Pt (0.3726, 0.8740, 0.7493)  2 Ga 2.59, 7 Mg 2.71-2.90
Ga (0.0000, 0.0000, 0.0000)  4 Pt 2.59, 4 Mg 2.77-2.78
Mg (0.8132, 0.3155, 0.6325)  5 Pt 2.71-2.90

Calculated values
- total magnetic moment (μB per formula unit) = 0.000
- density of states at the Fermi level (states/eV per atom) = 0.41
- calculated density (g/cm3) = 8.1
- volume (A^3/atom) = 18.2

***

Stability, lowest: (two)

***

(one)
MgGa2Pt4 | PBE | relaxed

Unit cell a=4.6399 b=4.6399 c=7.1324 alpha=71.02 beta=71.02 gamma=90.00
Last column: nearest neighbours and their distance in Å.
Positions (direct):
Pt (0.7948, 0.7948, 0.4104)  1 Ga 2.36, 1 Mg 2.60
Mg (0.0000, 0.0000, 0.0000)  4 Pt 2.32
Ga (0.6084, 0.6084, 0.7833)  1 Pt 2.36
Pt (0.5000, 0.0000, 0.0000)  2 Mg 2.32
Pt (0.2052, 0.2052, 0.5896)  1 Ga 2.36, 1 Mg 2.60
Ga (0.3916, 0.3916, 0.2167)  1 Pt 2.36
Pt (0.0000, 0.5000, 0.0000)  2 Mg 2.32

Calculated values
- total magnetic moment (μB per formula unit) = 0.000
- density of states at the Fermi level (states/eV per atom) = 0.48
- calculated density (g/cm3) = 11.5
- volume (A^3/atom) = 19.5

***

(two)
MgGa2Pt4 | PBE | relaxed

Unit cell a=5.3685 b=5.3685 c=9.3033 alpha=138.25 beta=138.25 gamma=64.29
Last column: nearest neighbours and their distance in Å.
Positions (direct):
Ga (0.2548, 0.2548, 0.5148)  8 Pt 2.61-2.76, 2 Ga 2.86
Pt (0.2459, 0.7541, 0.5000)  4 Ga 2.61-2.76, 2 Mg 2.67, 4 Pt 2.81-2.90
Ga (0.7452, 0.7452, 0.4852)  8 Pt 2.61-2.76, 2 Ga 2.86
Pt (0.7541, 0.2459, 0.5000)  4 Ga 2.61-2.76, 2 Mg 2.67, 4 Pt 2.81-2.90
Pt (0.5000, 0.0000, 0.0000)  4 Ga 2.62-2.70, 2 Mg 2.68, 4 Pt 2.86
Pt (0.0000, 0.5000, 0.0000)  4 Ga 2.62-2.70, 2 Mg 2.68, 4 Pt 2.86
Mg (0.0000, 0.0000, 0.0000)  8 Pt 2.67-2.68, 2 Ga 2.96

Calculated values
- total magnetic moment (μB per formula unit) = 0.000
- density of states at the Fermi level (states/eV per atom) = 0.19
- calculated density (g/cm3) = 13.7
- volume (A^3/atom) = 16.3

***

Stability, lowest: (one)

***

(one)
PuMg2Ga | PBE | relaxed

Unit cell a=3.1317 b=3.1317 c=11.1486 alpha=81.93 beta=81.93 gamma=60.00
Last column: nearest neighbours and their distance in Å.
Positions (direct):
Ga (0.5000, 0.5000, 0.5000)  6 Mg 2.92, 6 Ga 3.13
Mg (0.9027, 0.9027, 0.2918)  3 Ga 2.92, 6 Mg 3.13, 1 Pu 3.21
Pu (0.0000, 0.0000, 0.0000)  6 Pu 3.13, 2 Mg 3.21
Mg (0.0973, 0.0973, 0.7082)  3 Ga 2.92, 6 Mg 3.13, 1 Pu 3.21

Calculated values
- total magnetic moment (μB per formula unit) = 6.021
- density of states at the Fermi level (states/eV per atom) = 2.02
- calculated density (g/cm3) = 6.4
- volume (A^3/atom) = 23.4

***

(two)
PuMg2Ga | PBE | relaxed

Unit cell a=4.8549 b=4.3630 c=4.3630 alpha=90.00 beta=90.00 gamma=90.00
Last column: nearest neighbours and their distance in Å.
Positions (direct):
Ga (0.5000, 0.5000, 0.5000)  4 Pu 3.09, 8 Mg 3.26
Mg (0.0000, 0.0000, 0.5000)  4 Mg 3.09, 4 Pu 3.26, 4 Ga 3.26
Mg (0.0000, 0.5000, 0.0000)  4 Mg 3.09, 4 Pu 3.26, 4 Ga 3.26
Pu (0.5000, 0.0000, 0.0000)  4 Ga 3.09, 8 Mg 3.26

Calculated values
- total magnetic moment (μB per formula unit) = 5.937
- density of states at the Fermi level (states/eV per atom) = 2.80
- calculated density (g/cm3) = 6.5
- volume (A^3/atom) = 23.1

***

Stability, lowest: (one)

***

(one)
RbMg14Ga | PBE | relaxed

Unit cell a=6.5870 b=6.5870 c=10.4887 alpha=90.00 beta=90.00 gamma=120.00
Last column: nearest neighbours and their distance in Å.
Positions (direct):
Ga (0.0000, 0.0000, 0.5000)  12 Mg 3.08-3.29
Mg (0.1700, 0.8300, 0.7280)  10 Mg 3.07-3.40, 1 Ga 3.08
Mg (0.6601, 0.8300, 0.2720)  10 Mg 3.07-3.40, 1 Ga 3.08
Mg (0.4946, 0.5054, 0.0000)  10 Mg 3.19-3.40, 2 Rb 3.29
Mg (0.4946, 0.9893, 0.0000)  10 Mg 3.19-3.40, 2 Rb 3.29
Mg (0.0107, 0.5054, 0.0000)  10 Mg 3.19-3.40, 2 Rb 3.29
Mg (0.1700, 0.3399, 0.7280)  10 Mg 3.07-3.40, 1 Ga 3.08
Mg (0.6601, 0.8300, 0.7280)  10 Mg 3.07-3.40, 1 Ga 3.08
Mg (0.1700, 0.3399, 0.2720)  10 Mg 3.07-3.40, 1 Ga 3.08
Mg (0.5066, 0.4934, 0.5000)  10 Mg 3.07-3.42, 2 Ga 3.29
Rb (0.0000, 0.0000, 0.0000)  12 Mg 3.29-3.45
Mg (0.5066, 0.0132, 0.5000)  10 Mg 3.07-3.42, 2 Ga 3.29
Mg (0.9868, 0.4934, 0.5000)  10 Mg 3.07-3.42, 2 Ga 3.29
Mg (0.1700, 0.8300, 0.2720)  10 Mg 3.07-3.40, 1 Ga 3.08
Mg (0.6667, 0.3333, 0.2436)  12 Mg 3.22-3.31
Mg (0.6667, 0.3333, 0.7564)  12 Mg 3.22-3.31

Calculated values
- total magnetic moment (μB per formula unit) = 0.000
- density of states at the Fermi level (states/eV per atom) = 0.60
- calculated density (g/cm3) = 2.1
- volume (A^3/atom) = 24.6

***

(two)
RbMg14Ga | PBE | relaxed

Unit cell a=6.5276 b=6.5276 c=10.6711 alpha=90.00 beta=90.00 gamma=120.04
Last column: nearest neighbours and their distance in Å.
Positions (direct):
Mg (0.6621, 0.3379, 0.2321)  11 Mg 3.11-3.44, 1 Rb 3.36
Mg (0.8165, 0.6770, 0.5000)  1 Ga 2.96, 6 Mg 3.19-3.30, 2 Rb 3.24-3.29
Mg (0.1724, 0.8276, 0.2683)  1 Ga 3.18, 11 Mg 3.19-3.41
Mg (0.6655, 0.8251, 0.2405)  10 Mg 3.17-3.36, 1 Ga 3.30, 1 Rb 3.43
Rb (0.8186, 0.1814, 0.5000)  10 Mg 3.24-3.43, 2 Ga 3.28
Mg (0.1749, 0.3345, 0.2405)  10 Mg 3.17-3.36, 1 Ga 3.30, 1 Rb 3.43
Ga (0.3499, 0.6501, 0.5000)  8 Mg 2.96-3.30, 2 Rb 3.28
Mg (0.1724, 0.8276, 0.7317)  1 Ga 3.18, 11 Mg 3.19-3.41
Mg (0.1749, 0.3345, 0.7595)  10 Mg 3.17-3.36, 1 Ga 3.30, 1 Rb 3.43
Mg (0.6655, 0.8251, 0.7595)  10 Mg 3.17-3.36, 1 Ga 3.30, 1 Rb 3.43
Mg (0.3230, 0.1835, 0.5000)  1 Ga 2.96, 6 Mg 3.19-3.30, 2 Rb 3.24-3.29
Mg (0.3342, 0.6658, 0.0000)  12 Mg 3.18-3.40
Mg (0.8357, 0.1643, 0.0000)  12 Mg 3.16-3.28
Mg (0.3288, 0.1564, 0.0000)  12 Mg 3.11-3.41
Mg (0.6621, 0.3379, 0.7679)  11 Mg 3.11-3.44, 1 Rb 3.36
Mg (0.8436, 0.6712, 0.0000)  12 Mg 3.11-3.41

Calculated values
- total magnetic moment (μB per formula unit) = 0.000
- density of states at the Fermi level (states/eV per atom) = 0.48
- calculated density (g/cm3) = 2.1
- volume (A^3/atom) = 24.6

***

Stability, lowest: (one)